{
  "formula": "Y5Er3Tm",
  "functional": "PBE",
  "state": "relaxed",
  "vol_a3_per_fu": 295.93,
  "energy_ev_per_cell": -96.98,
  "dos_at_fermi_per_ev_fu": 13.9,
  "lattice": [[8.0411, -3.3286, 0.0000], [8.0411, 3.3286, 0.0000], [-3.5441, 0.0000, 11.0565]],
  "species": ["Y", "Y", "Y", "Y", "Y", "Y", "Y", "Y", "Y", "Y", "Er", "Er", "Er", "Er", "Er", "Er", "Tm", "Tm"],
  "fractional_positions": [[0.0869, 0.4803, 0.7342], [0.1257, 0.2400, 0.9500], [0.2044, 0.7956, 0.7500], [0.2400, 0.1257, 0.4500], [0.4803, 0.0869, 0.2342], [0.5197, 0.9131, 0.7658], [0.7600, 0.8743, 0.5500], [0.7956, 0.2044, 0.2500], [0.8743, 0.7600, 0.0500], [0.9131, 0.5197, 0.2658], [0.0000, 0.0000, 0.0000], [0.0000, 0.0000, 0.5000], [0.3409, 0.4453, 0.4845], [0.4453, 0.3409, 0.9845], [0.5547, 0.6591, 0.0155], [0.6591, 0.5547, 0.5155], [0.3023, 0.6977, 0.2500], [0.6977, 0.3023, 0.7500]]
}